[1]
# Ac12Ge5Rh2

A relaxed structure of Ac12Ge5Rh2 (GGA-PBE, Alexandria).

Lattice parameters (Å, degrees): 9.887 9.887 10.163 104.70 104.70 48.05
Fractional coordinates of all 19 atoms:
Ac  0.002  0.002  0.244
Ac  0.068  0.597  0.913
Ac  0.107  0.594  0.427
Ac  0.403  0.932  0.087
Ac  0.406  0.893  0.573
Ac  0.494  0.494  0.185
Ac  0.506  0.506  0.815
Ac  0.594  0.107  0.427
Ac  0.597  0.068  0.913
Ac  0.893  0.406  0.573
Ac  0.932  0.403  0.087
Ac  0.998  0.998  0.756
Ge  0.188  0.188  0.829
Ge  0.196  0.196  0.364
Ge  0.500  0.500  0.500
Ge  0.804  0.804  0.636
Ge  0.812  0.812  0.171
Rh  0.207  0.793  0.000
Rh  0.793  0.207  0.000

Summary:
Energy of formation = -0.48 eV per atom
Space group = C2/m (12)
Crystal system = monoclinic

[2]
# La2CuSe4O12

A relaxed structure of La2CuSe4O12 (GGA-PBE, Alexandria).

Lattice parameters (Å, degrees): 10.894 7.210 8.460 90.00 110.36 90.00
Fractional coordinates of all 38 atoms:
La  0.086  0.166  0.240
La  0.086  0.334  0.740
La  0.914  0.666  0.260
La  0.914  0.834  0.760
Cu  0.500  0.000  0.500
Cu  0.500  0.500  0.000
Se  0.184  0.679  0.132
Se  0.184  0.821  0.632
Se  0.372  0.175  0.130
Se  0.372  0.325  0.630
Se  0.628  0.675  0.370
Se  0.628  0.825  0.870
Se  0.816  0.179  0.368
Se  0.816  0.321  0.868
O  0.057  0.657  0.591
O  0.057  0.843  0.091
O  0.112  0.511  0.219
O  0.112  0.989  0.719
O  0.154  0.614  0.928
O  0.154  0.886  0.428
O  0.207  0.219  0.034
O  0.207  0.281  0.534
O  0.357  0.129  0.327
O  0.357  0.371  0.827
O  0.444  0.107  0.674
O  0.444  0.393  0.174
O  0.556  0.607  0.826
O  0.556  0.893  0.326
O  0.643  0.629  0.173
O  0.643  0.871  0.673
O  0.793  0.719  0.466
O  0.793  0.781  0.966
O  0.846  0.114  0.572
O  0.846  0.386  0.072
O  0.888  0.011  0.281
O  0.888  0.489  0.781
O  0.943  0.157  0.909
O  0.943  0.343  0.409

Summary:
Formation energy (no corrections) = -1.597 eV per atom
Space group = P2_1/c (14)
Crystal system = monoclinic

[3]
# Sm6DyIn2

A relaxed structure of Sm6DyIn2 (GGA-PBE, Alexandria).

Lattice parameters (Å, degrees): 6.771 6.771 12.007 107.44 107.44 32.74
Fractional coordinates of all 9 atoms:
Sm  0.015  0.015  0.340
Sm  0.308  0.308  0.412
Sm  0.316  0.316  0.123
Sm  0.684  0.684  0.877
Sm  0.692  0.692  0.588
Sm  0.985  0.985  0.660
Dy  0.000  0.000  0.000
In  0.359  0.359  0.799
In  0.641  0.641  0.201

Summary:
Energy of formation = -0.20 eV per atom
ΔE to the lowest computed polymorph = 0 meV per atom
Space group = C2/m (12)
Crystal system = monoclinic

[4]
# RbLuBeF6

A relaxed structure of RbLuBeF6 (GGA-PBE, Alexandria).

Lattice parameters (Å, degrees): 6.524 5.755 7.256 90.00 114.47 90.00
Fractional coordinates of all 18 atoms:
Rb  0.087  0.250  0.212
Rb  0.913  0.750  0.788
Lu  0.398  0.250  0.825
Lu  0.602  0.750  0.175
Be  0.231  0.750  0.463
Be  0.769  0.250  0.537
F  0.008  0.250  0.719
F  0.256  0.530  0.597
F  0.256  0.970  0.597
F  0.324  0.501  0.022
F  0.324  0.999  0.022
F  0.409  0.750  0.374
F  0.591  0.250  0.626
F  0.676  0.001  0.978
F  0.676  0.499  0.978
F  0.744  0.030  0.403
F  0.744  0.470  0.403
F  0.992  0.750  0.281

Summary:
Formation energy (no corrections) = -3.623 eV per atom
Space group = P2_1/m (11)
Crystal system = monoclinic

[5]
# TbB3Os3

A relaxed structure of TbB3Os3 (GGA-PBE, Alexandria).

Lattice parameters (Å, degrees): 7.549 7.549 3.586 90.00 90.00 120.00
Fractional coordinates of all 14 atoms:
Tb  0.333  0.667  0.250
Tb  0.667  0.333  0.750
B  0.050  0.597  0.750
B  0.403  0.453  0.750
B  0.453  0.050  0.250
B  0.547  0.950  0.750
B  0.597  0.547  0.250
B  0.950  0.403  0.250
Os  0.065  0.311  0.750
Os  0.247  0.935  0.750
Os  0.311  0.247  0.250
Os  0.689  0.753  0.750
Os  0.753  0.065  0.250
Os  0.935  0.689  0.250

Summary:
Energy of formation = -0.10 eV per atom
ΔE to the lowest computed polymorph = 0 meV per atom
Space group = P6_3/m (176)
Crystal system = hexagonal